[1]
CsTlNiCl6: relaxed, PBE.

Density ... 3.40 g/cm3
Final energy ... -3.191 eV/atom
Raw formation energy ... -0.9600 eV per atom

Unit cell a=6.6188 b=6.6188 c=7.8276 alpha=90.00 beta=90.00 gamma=120.00
Space group P312 (No. 149)
Asymmetric unit:
Cs 0.0000 0.0000 0.0000
Tl 0.6667 0.3333 0.5000
Ni 0.3333 0.6667 0.5000
Cl 0.0264 0.3850 0.6820

***

[2]
Pr3Sn3Au8: relaxed, PBE.

DOS(E_F) ... 0.324 states/eV/atom
Density ... 11.98 g/cm3
Final energy ... -4.308 eV/atom
DFT formation energy ... -0.554 eV per atom

Unit cell a=4.675 b=10.043 c=13.899 alpha=90.00 beta=90.00 gamma=90.00
Space group Immm (No. 71)
Asymmetric unit:
Pr 0.000 0.000 0.000
Pr 0.000 0.000 0.298
Sn 0.000 0.219 0.500
Sn 0.000 0.500 0.000
Au 0.000 0.285 0.137
Au 0.000 0.366 0.332

***

[3]
BaScCr2H: relaxed, PBE.

DOS(E_F) ... 1.197 states/eV/atom
Density ... 3.42 g/cm3
Final energy ... -4.718 eV/atom

Unit cell a=5.802 b=5.802 c=4.139 alpha=90.00 beta=90.00 gamma=90.00
Space group P4/mmm (No. 123)
Asymmetric unit:
Ba 0.000 0.000 0.000
Sc 0.500 0.500 0.500
Cr 0.000 0.500 0.000
H 0.000 0.000 0.500

***

[4]
CaLaZr2: relaxed, PBE.

DOS(E_F) ... 1.577 states/eV/atom
Density ... 5.30 g/cm3
E above lowest polymorph ... 187.5 meV per atom
Final energy ... -5.653 eV/atom
DFT formation energy ... 0.353 eV per atom

Unit cell a=3.214 b=5.599 c=6.491 alpha=90.00 beta=104.32 gamma=90.00
Space group P2/m (No. 10)
Asymmetric unit:
Ca 0.000 0.000 0.000
La 0.000 0.000 0.500
Zr 0.396 0.500 0.236